[1]
LiZn2Pb PBE optimized geometry; energy of formation from the pure elements = -4.9 kJ per mole of atoms; calculated volume = 164.0 Å³ per cell; magnetic moment = 0.00 μB per formula unit; electronic total energy = -16.746 eV for the cell shown
1.0
7.600 0.000 0.000
0.000 4.406 0.000
-2.527 0.000 4.898
Li Zn Pb
2 4 2
direct
0.000 0.000 0.000
0.500 0.500 0.000
0.263 0.500 0.290
0.419 0.000 0.260
0.763 0.000 0.290
0.919 0.500 0.260
0.212 0.000 0.635
0.712 0.500 0.635

[2]
Li6ZnPb PBE optimized geometry; energy of formation from the pure elements = -17.9 kJ per mole of atoms; calculated volume = 291.9 Å³ per cell; magnetic moment = 0.00 μB per formula unit; electronic total energy = -35.903 eV for the cell shown
1.0
4.823 0.000 0.000
0.000 5.984 0.000
0.000 0.000 10.115
Li Zn Pb
12 2 2
direct
0.000 0.000 0.000
0.000 0.241 0.759
0.000 0.259 0.259
0.000 0.500 0.500
0.000 0.741 0.259
0.000 0.759 0.759
0.500 0.000 0.334
0.500 0.244 0.581
0.500 0.256 0.081
0.500 0.500 0.834
0.500 0.744 0.081
0.500 0.756 0.581
0.000 0.000 0.503
0.000 0.500 0.003
0.500 0.000 0.833
0.500 0.500 0.333

[3]
LiZn2Pb PBE optimized geometry; energy of formation from the pure elements = -1.4 kJ per mole of atoms; calculated volume = 79.2 Å³ per cell; magnetic moment = 0.00 μB per formula unit; electronic total energy = -8.230 eV for the cell shown
1.0
3.555 0.000 0.000
0.000 3.900 0.000
0.000 0.000 5.711
Li Zn Pb
1 2 1
direct
0.000 0.000 0.000
0.500 0.500 0.225
0.500 0.500 0.775
0.000 0.000 0.500

[4]
LiZn2Pb PBE optimized geometry; energy of formation from the pure elements = -3.4 kJ per mole of atoms; calculated volume = 76.5 Å³ per cell; magnetic moment = 0.00 μB per formula unit; electronic total energy = -8.312 eV for the cell shown
1.0
4.169 0.000 0.000
0.000 4.169 0.000
0.000 0.000 4.401
Li Zn Pb
1 2 1
direct
0.000 0.000 0.000
0.000 0.500 0.500
0.500 0.000 0.500
0.500 0.500 0.000